# Ac2CoO6 | the Alexandria database | PBE with a Hubbard U | relaxed
# DFT total energy = -6.831 eV per atom
data_Ac2CoO6
_space_group_name_H-M_alt 'P 1'
_space_group_IT_number 1
_cell_length_a 5.5085
_cell_length_b 5.5078
_cell_length_c 7.7829
_cell_angle_alpha 90.00
_cell_angle_beta 89.93
_cell_angle_gamma 90.00
loop_
_space_group_symop_operation_xyz
'x,y,z'
loop_
_atom_site_label
_atom_site_fract_x
_atom_site_fract_y
_atom_site_fract_z
Ac1 0.0005 0.4996 0.7500
Ac2 0.4995 0.9996 0.7500
Ac3 0.5005 0.0004 0.2500
Ac4 0.9995 0.5004 0.2500
Co1 0.5000 0.5000 0.0000
Co2 0.0000 0.0000 0.5000
O1 0.9980 0.9979 0.2633
O2 0.7647 0.7646 0.4995
O3 0.7384 0.7388 0.0000
O4 0.7616 0.2388 0.5000
O5 0.7353 0.2646 0.0005
O6 0.5020 0.4979 0.2367
O7 0.0020 0.0021 0.7367
O8 0.2353 0.2354 0.5005
O9 0.2616 0.2612 0.0000
O10 0.2384 0.7612 0.5000
O11 0.2647 0.7354 0.9995
O12 0.4980 0.5021 0.7633